# 1
## NdSm3Bi3 (GGA-PBE)

Data for a relaxed NdSm3Bi3 crystal.

Geometry as POSCAR:
```
NdSm3Bi3
1.0
4.693 2.710 6.386
-4.693 2.710 6.386
0.000 -5.419 6.386
Nd Sm Bi
2 6 6
Direct
0.166 0.166 0.166
0.834 0.834 0.834
0.154 0.680 0.413
0.320 0.587 0.846
0.413 0.154 0.680
0.587 0.846 0.320
0.680 0.413 0.154
0.846 0.320 0.587
0.032 0.421 0.800
0.200 0.968 0.579
0.421 0.800 0.032
0.579 0.200 0.968
0.800 0.032 0.421
0.968 0.579 0.200
```

Computed properties:
* excess energy over the best structure of this formula in the dataset: 9.29 kJ/mol of atoms
* Fermi-level density of states: 0.632 states/eV/atom
* energy: -71.16 eV for the cell shown
* formation energy: -0.72 eV per atom

=====

# 2
## LaHRhAuS (GGA-PBE)

Data for a relaxed LaHRhAuS crystal.

Geometry as POSCAR:
```
LaHRhAuS
1.0
2.253 1.301 5.690
-2.253 1.301 5.690
0.000 -2.602 5.690
La H Rh Au S
1 1 1 1 1
Direct
0.000 0.000 0.000
0.637 0.637 0.637
0.540 0.540 0.540
0.204 0.204 0.204
0.403 0.403 0.403
```

Computed properties:
* excess energy over the best structure of this formula in the dataset: 2.65 kJ/mol of atoms
* Fermi-level density of states: 0.047 states/eV/atom
* energy: -26.85 eV for the cell shown

=====

# 3
## TmSi3Rh (GGA-PBE)

Data for a relaxed TmSi3Rh crystal.

Geometry as POSCAR:
```
TmSi3Rh
1.0
5.222 0.000 0.000
0.000 5.601 0.000
-0.072 0.000 5.598
Tm Si Rh
2 6 2
Direct
0.127 0.250 0.221
0.873 0.750 0.779
0.070 0.750 0.315
0.355 0.021 0.677
0.355 0.479 0.677
0.645 0.521 0.323
0.645 0.979 0.323
0.930 0.250 0.685
0.386 0.750 0.012
0.614 0.250 0.988
```

Computed properties:
* Fermi-level density of states: 0.377 states/eV/atom
* energy: -62.46 eV for the cell shown

=====

# 4
## ScTaBe2 (GGA-PBE)

Data for a relaxed ScTaBe2 crystal.

Geometry as POSCAR:
```
ScTaBe2
1.0
3.009 0.000 0.000
0.000 3.959 0.000
0.000 0.000 5.113
Sc Ta Be
1 1 2
Direct
0.000 0.000 0.000
0.500 0.500 0.356
0.000 0.000 0.499
0.500 0.500 0.840
```

Computed properties:
* excess energy over the best structure of this formula in the dataset: 31.79 kJ/mol of atoms
* Fermi-level density of states: 0.498 states/eV/atom
* energy: -24.33 eV for the cell shown
* formation energy: 0.33 eV per atom

=====

# 5
## Na2Al5Au3 (GGA-PBE)

Data for a relaxed Na2Al5Au3 crystal.

Geometry as POSCAR:
```
Na2Al5Au3
1.0
2.188 -12.504 0.000
2.188 12.504 0.000
0.000 0.000 6.956
Na Al Au
4 10 6
Direct
0.018 0.982 0.500
0.323 0.677 0.443
0.677 0.323 0.943
0.982 0.018 0.000
0.103 0.897 0.139
0.208 0.792 0.625
0.209 0.791 0.227
0.375 0.625 0.997
0.446 0.554 0.334
0.554 0.446 0.834
0.625 0.375 0.497
0.791 0.209 0.727
0.792 0.208 0.125
0.897 0.103 0.639
0.109 0.891 0.747
0.272 0.728 0.922
0.450 0.550 0.720
0.550 0.450 0.220
0.728 0.272 0.422
0.891 0.109 0.247
```

Computed properties:
* Fermi-level density of states: 0.365 states/eV/atom
* energy: -68.60 eV for the cell shown
* formation energy: -0.31 eV per atom

=====

# 6
## BaHfIn2S (GGA-PBE)

Data for a relaxed BaHfIn2S crystal.

Geometry as POSCAR:
```
BaHfIn2S
1.0
5.478 0.000 0.000
0.000 5.478 0.000
0.000 0.000 6.646
Ba Hf In S
1 1 2 1
Direct
0.000 0.000 0.000
0.000 0.000 0.500
0.000 0.500 0.500
0.500 0.000 0.500
0.500 0.500 0.000
```

Computed properties:
* Fermi-level density of states: 1.220 states/eV/atom
* energy: -18.59 eV for the cell shown

=====

Please write out number 4 again, unchanged.
## ScTaBe2 (GGA-PBE)

Data for a relaxed ScTaBe2 crystal.

Geometry as POSCAR:
```
ScTaBe2
1.0
3.009 0.000 0.000
0.000 3.959 0.000
0.000 0.000 5.113
Sc Ta Be
1 1 2
Direct
0.000 0.000 0.000
0.500 0.500 0.356
0.000 0.000 0.499
0.500 0.500 0.840
```

Computed properties:
* excess energy over the best structure of this formula in the dataset: 31.79 kJ/mol of atoms
* Fermi-level density of states: 0.498 states/eV/atom
* energy: -24.33 eV for the cell shown
* formation energy: 0.33 eV per atom